Crystalline La2CdSb4Pt3 at its relaxed geometry, computed with GGA-PBE.

The space group is P-4m2 (No. 115) and the conventional cell measures 4.773, 4.773 and 10.670 Å, with angles of 90.00, 90.00 and 90.00 degrees. The asymmetric unit holds La at (0.000, 0.500, 0.248), Cd at (0.000, 0.000, 0.500), Sb at (0.000, 0.000, 0.000), Sb at (0.000, 0.500, 0.638), Sb at (0.500, 0.500, 0.000), Pt at (0.000, 0.500, 0.883) and Pt at (0.500, 0.500, 0.500).

As for the crystal system: tetragonal. The calculation puts the density of states at the Fermi level at 0.404 states/eV/atom. The magnetic moment is 0.0 μB/f.u. The energy relative to the elements, uncorrected is -0.753 eV per atom. The calculation puts the total DFT energy (no corrections) at -52.92 eV/cell.